Record 1
First-principles (GGA-PBE) data for an optimized crystal structure of ScTcBi2Br, as listed in Alexandria via LeMat-Bulk.

Cell lengths 5.684, 5.684, 4.516 Å; angles 90.00, 90.00, 90.00 degrees
Element x y z (fractional)
Sc1 0.000 0.000 0.000
Tc1 0.500 0.500 0.000
Bi1 0.000 0.500 0.500
Bi2 0.500 0.000 0.500
Br1 0.500 0.500 0.500

Calculated values
**Total energy**: -4.209 eV/atom
**Formation energy (no corrections)**: 1017.8 meV/atom


Record 2
First-principles (GGA-PBE) data for an optimized crystal structure of ScBiWBr2, as listed in Alexandria via LeMat-Bulk.

Cell lengths 4.828, 4.828, 6.036 Å; angles 90.00, 90.00, 90.00 degrees
Element x y z (fractional)
Sc1 0.000 0.000 0.000
Bi1 0.500 0.500 0.000
W1 0.000 0.000 0.500
Br1 0.000 0.500 0.500
Br2 0.500 0.000 0.500

Calculated values
**Total energy**: -4.777 eV/atom
**Formation energy (no corrections)**: 525.5 meV/atom